# 1
# CaMg3Pa2N6

A geometry-optimized CaMg3Pa2N6 structure (PBE, Alexandria).

Cell lengths 3.5239, 6.6996, 7.2200 Å; angles 99.99, 104.12, 90.00 degrees
Closest atoms and distances in Å follow each position.
Atoms (fractional coordinates):
Ca  0.5000  0.0000  0.0000  6 N 2.40-2.49
Mg  0.5000  0.5000  0.0000  6 N 2.36-2.37
Mg  0.8376  0.1693  0.6751  6 N 2.27-2.53
Mg  0.1624  0.8307  0.3249  6 N 2.27-2.53
Pa  0.8389  0.6774  0.6778  6 N 2.18-2.38
Pa  0.1611  0.3226  0.3222  6 N 2.18-2.38
N  0.3269  0.8956  0.6538  3 Mg 2.27-2.53, 2 Pa 2.31, 1 Ca 2.40
N  0.6715  0.5644  0.3430  3 Pa 2.33-2.38, 3 Mg 2.36-2.53
N  0.6731  0.1044  0.3462  3 Mg 2.27-2.53, 2 Pa 2.31, 1 Ca 2.40
N  0.0025  0.2634  0.0050  1 Pa 2.18, 3 Mg 2.28-2.37
N  0.9975  0.7366  0.9950  1 Pa 2.18, 3 Mg 2.28-2.37
N  0.3285  0.4356  0.6570  3 Pa 2.33-2.38, 3 Mg 2.36-2.53

Results
- space-group type = C2/m, No. 12
- formation energy (no corrections) (eV/atom) = -1.206
- M_tot (μB per cell) = 0.00
- crystal system = monoclinic

---

# 2
# BaTlAgO3

A geometry-optimized BaTlAgO3 structure (PBE, Alexandria).

Cell lengths 6.3933, 6.3933, 6.7998 Å; angles 68.22, 68.22, 67.30 degrees
Closest atoms and distances in Å follow each position.
Atoms (fractional coordinates):
Ba  0.7016  0.7016  0.8758  5 O 2.65-2.76
Ba  0.2984  0.2984  0.1242  5 O 2.65-2.76
Tl  0.0885  0.0885  0.7420  3 O 2.06-2.21
Tl  0.9115  0.9115  0.2580  3 O 2.06-2.21
Ag  0.2916  0.7084  0.5000  2 O 2.21
Ag  0.7084  0.2916  0.5000  2 O 2.21
O  0.2999  0.2999  0.5288  1 Tl 2.06
O  0.1413  0.7051  0.8513  1 Tl 2.21, 1 Ag 2.21
O  0.7051  0.1413  0.8513  1 Tl 2.21, 1 Ag 2.21
O  0.2949  0.8587  0.1487  1 Tl 2.21, 1 Ag 2.21
O  0.8587  0.2949  0.1487  1 Tl 2.21, 1 Ag 2.21
O  0.7001  0.7001  0.4712  1 Tl 2.06

Results
- space-group type = C2/m, No. 12
- formation energy (no corrections) (eV/atom) = -1.024
- M_tot (μB per cell) = 0.00
- crystal system = monoclinic

---

# 3
# Ac3Lu

A geometry-optimized Ac3Lu structure (PBE, Alexandria).

Cell lengths 5.4679, 5.4679, 6.6760 Å; angles 114.17, 114.17, 90.00 degrees
Closest atoms and distances in Å follow each position.
Atoms (fractional coordinates):
Ac  0.7500  0.2500  0.5000  8 Ac 3.86-3.87, 4 Lu 3.86
Ac  0.2500  0.7500  0.5000  8 Ac 3.86-3.87, 4 Lu 3.86
Ac  0.5000  0.5000  0.0000  8 Ac 3.86, 4 Lu 3.87
Lu  0.0000  0.0000  0.0000  12 Ac 3.86-3.87

Results
- space-group type = I4/mmm, No. 139
- M_tot (μB per cell) = 0.00
- crystal system = tetragonal
- energy of formation (kJ/mol of formula units) = 23

---

# 4
# TaMo

A geometry-optimized TaMo structure (PBE, Alexandria).

Cell lengths 3.2246, 22.4011, 3.2246 Å; angles 54.84, 90.00, 54.84 degrees
Closest atoms and distances in Å follow each position.
Atoms (fractional coordinates):
Mo  0.9803  0.0049  0.9803  4 Mo 2.73, 4 Ta 2.83
Mo  0.0197  0.1201  0.0197  4 Mo 2.73, 4 Ta 2.83
Mo  0.0108  0.3723  0.0108  8 Ta 2.77-2.79
Mo  0.9892  0.7527  0.9892  8 Ta 2.77-2.79
Ta  0.0042  0.2489  0.0042  8 Mo 2.79-2.83
Ta  0.0244  0.4939  0.0244  4 Mo 2.77, 4 Ta 2.90
Ta  0.9756  0.6311  0.9756  4 Mo 2.77, 4 Ta 2.90
Ta  0.9958  0.8761  0.9958  8 Mo 2.79-2.83

Results
- space-group type = P4/nmm, No. 129
- M_tot (μB per cell) = 0.00
- crystal system = tetragonal
- energy of formation (kJ/mol of formula units) = -35

---

# 5
# TbGd2V

A geometry-optimized TbGd2V structure (PBE, Alexandria).

Cell lengths 3.3846, 3.3846, 11.5853 Å; angles 81.60, 81.60, 60.00 degrees
Closest atoms and distances in Å follow each position.
Atoms (fractional coordinates):
Gd  0.0794  0.0794  0.7619  1 V 2.72
Gd  0.9206  0.9206  0.2381  1 V 2.72
Tb  0.5000  0.5000  0.5000  6 Tb 3.38, 6 Gd 3.57
V  0.0000  0.0000  0.0000  2 Gd 2.72

Results
- space-group type = R-3m, No. 166
- M_tot (μB per cell) = 11.66
- crystal system = trigonal
- energy of formation (kJ/mol of formula units) = 225

---

# 6
# Ca2CeDyP4

A geometry-optimized Ca2CeDyP4 structure (PBE, Alexandria).

Cell lengths 4.1097, 7.0985, 7.0713 Å; angles 109.69, 90.00, 90.00 degrees
Closest atoms and distances in Å follow each position.
Atoms (fractional coordinates):
Ca  0.5000  0.0000  0.5000  6 P 2.95-2.96
Ca  0.0000  0.5000  0.5000  6 P 2.96
Ce  0.0000  0.0000  0.0000  6 P 2.83-2.84
Dy  0.5000  0.5000  0.0000  6 P 2.84
P  0.5000  0.2442  0.2335  2 Ce 2.83, 1 Dy 2.84, 3 Ca 2.96
P  0.5000  0.7558  0.7665  2 Ce 2.83, 1 Dy 2.84, 3 Ca 2.96
P  0.0000  0.2549  0.7652  1 Ce 2.84, 2 Dy 2.84, 3 Ca 2.95-2.96
P  0.0000  0.7451  0.2348  1 Ce 2.84, 2 Dy 2.84, 3 Ca 2.95-2.96

Results
- space-group type = P2/m, No. 10
- M_tot (μB per cell) = 0.00
- crystal system = monoclinic
- energy of formation (kJ/mol of formula units) = -964

---

# 7
# Li3Th2Pt4

A geometry-optimized Li3Th2Pt4 structure (PBE, Alexandria).

Cell lengths 5.5949, 7.6689, 8.1352 Å; angles 90.00, 110.11, 90.00 degrees
Closest atoms and distances in Å follow each position.
Atoms (fractional coordinates):
Li  0.0000  0.0000  0.0000  6 Pt 2.49-2.75
Li  0.5000  0.5000  0.0000  6 Pt 2.49-2.75
Li  0.5341  0.7500  0.5683  5 Pt 2.56-2.69, 2 Li 2.80
Li  0.9659  0.2500  0.4317  5 Pt 2.56-2.69, 2 Li 2.80
Li  0.4659  0.2500  0.4317  5 Pt 2.56-2.69, 2 Li 2.80
Li  0.0341  0.7500  0.5683  5 Pt 2.56-2.69, 2 Li 2.80
Th  0.1161  0.5816  0.2321  8 Pt 2.97-3.27, 4 Li 3.20-3.28
Th  0.8839  0.4184  0.7679  8 Pt 2.97-3.27, 4 Li 3.20-3.28
Th  0.3839  0.0816  0.7679  8 Pt 2.97-3.27, 4 Li 3.20-3.28
Th  0.6161  0.9184  0.2321  8 Pt 2.97-3.27, 4 Li 3.20-3.28
Pt  0.7015  0.7500  0.9030  3 Li 2.49-2.56
Pt  0.7985  0.2500  0.0970  3 Li 2.49-2.56
Pt  0.2985  0.2500  0.0970  3 Li 2.49-2.56
Pt  0.2015  0.7500  0.9030  3 Li 2.49-2.56
Pt  0.1788  0.9595  0.3576  5 Li 2.67-2.75, 2 Th 2.97
Pt  0.8212  0.0405  0.6424  5 Li 2.67-2.75, 2 Th 2.97
Pt  0.3212  0.4595  0.6424  5 Li 2.67-2.75, 2 Th 2.97
Pt  0.6788  0.5405  0.3576  5 Li 2.67-2.75, 2 Th 2.97

Results
- space-group type = Cmce, No. 64
- M_tot (μB per cell) = 0.00
- crystal system = orthorhombic
- energy of formation (kJ/mol of formula units) = -756

---

# 8
# Pr3DyHg6

A geometry-optimized Pr3DyHg6 structure (PBE, Alexandria).

Cell lengths 5.2329, 9.5110, 11.3415 Å; angles 106.36, 90.00, 90.00 degrees
Closest atoms and distances in Å follow each position.
Atoms (fractional coordinates):
Pr  0.2500  0.5103  0.3852  5 Hg 3.12-3.45
Pr  0.7500  0.4897  0.6148  5 Hg 3.12-3.45
Pr  0.2500  0.3530  0.7864  8 Hg 3.17-3.42
Pr  0.7500  0.6470  0.2136  8 Hg 3.17-3.42
Pr  0.2500  0.7752  0.9907  10 Hg 3.18-3.52
Pr  0.7500  0.2248  0.0093  10 Hg 3.18-3.52
Dy  0.2500  0.9414  0.6031  8 Hg 3.07-3.31
Dy  0.7500  0.0586  0.3969  8 Hg 3.07-3.31
Hg  0.2500  0.4640  0.0842  7 Pr 3.24-3.41, 3 Hg 3.42-3.57
Hg  0.7500  0.5360  0.9158  7 Pr 3.24-3.41, 3 Hg 3.42-3.57
Hg  0.2500  0.1424  0.1872  8 Hg 3.21-3.57, 4 Pr 3.52-3.59
Hg  0.7500  0.8576  0.8128  8 Hg 3.21-3.57, 4 Pr 3.52-3.59
Hg  0.2500  0.6691  0.6986  1 Dy 3.08, 4 Pr 3.12-3.42, 2 Hg 3.23
Hg  0.7500  0.3309  0.3014  1 Dy 3.08, 4 Pr 3.12-3.42, 2 Hg 3.23
Hg  0.2500  0.2303  0.4957  3 Dy 3.12-3.31, 2 Pr 3.17-3.25, 1 Hg 3.36
Hg  0.7500  0.7697  0.5043  3 Dy 3.12-3.31, 2 Pr 3.17-3.25, 1 Hg 3.36
Hg  0.2500  0.8538  0.3117  3 Dy 3.17-3.24, 3 Pr 3.27-3.50, 1 Hg 3.42
Hg  0.7500  0.1462  0.6883  3 Dy 3.17-3.24, 3 Pr 3.27-3.50, 1 Hg 3.42
Hg  0.2500  0.0593  0.8840  1 Dy 3.07, 4 Pr 3.18-3.28, 3 Hg 3.21-3.31
Hg  0.7500  0.9407  0.1160  1 Dy 3.07, 4 Pr 3.18-3.28, 3 Hg 3.21-3.31

Results
- space-group type = P2_1/m, No. 11
- M_tot (μB per cell) = 0.03
- crystal system = monoclinic
- energy of formation (kJ/mol of formula units) = -415

---

# 9
# SbMoAs3

A geometry-optimized SbMoAs3 structure (PBE, Alexandria).

Cell lengths 4.9169, 4.9169, 4.9169 Å; angles 90.00, 90.00, 90.00 degrees
Closest atoms and distances in Å follow each position.
Atoms (fractional coordinates):
Sb  0.5000  0.5000  0.5000  12 As 3.48
Mo  0.0000  0.0000  0.0000  6 As 2.46
As  0.0000  0.5000  0.0000  2 Mo 2.46
As  0.0000  0.0000  0.5000  2 Mo 2.46
As  0.5000  0.0000  0.0000  2 Mo 2.46

Results
- space-group type = Pm-3m, No. 221
- formation energy (no corrections) (eV/atom) = 0.494
- M_tot (μB per cell) = 0.32
- crystal system = cubic
- E above lowest polymorph (kJ/mol of atoms) = 0.00

---

# 10
# CuTcClF2

A geometry-optimized CuTcClF2 structure (PBE, Alexandria).

Cell lengths 4.0599, 5.1803, 4.0599 Å; angles 90.00, 90.00, 90.00 degrees
Closest atoms and distances in Å follow each position.
Atoms (fractional coordinates):
F  0.0000  0.0000  0.5000  2 Tc 2.03
F  0.5000  0.0000  0.0000  2 Tc 2.03
Tc  0.0000  0.0000  0.0000  4 F 2.03
Cu  0.5000  0.5000  0.5000  4 Cl 2.87
Cl  0.0000  0.5000  0.0000  2 Tc 2.59, 4 Cu 2.87

Results
- space-group type = P4/mmm, No. 123
- formation energy (no corrections) (eV/atom) = -0.541
- M_tot (μB per cell) = 2.57
- crystal system = tetragonal

---

# 11
# Ti6VCo

A geometry-optimized Ti6VCo structure (PBE, Alexandria).

Cell lengths 5.4288, 5.4288, 5.6697 Å; angles 103.54, 103.54, 117.63 degrees
Closest atoms and distances in Å follow each position.
Atoms (fractional coordinates):
Ti  0.2631  0.2631  0.7390  1 Co 2.29, 1 V 2.52
Ti  0.4706  0.0557  0.2463  1 Co 2.41, 1 V 2.45
Ti  0.7369  0.7369  0.2610  1 Co 2.29, 1 V 2.52
Ti  0.9443  0.5294  0.7537  1 Co 2.41, 1 V 2.45
Ti  0.5294  0.9443  0.7537  1 Co 2.41, 1 V 2.45
Ti  0.0557  0.4706  0.2463  1 Co 2.41, 1 V 2.45
V  0.0000  0.0000  0.0000  6 Ti 2.45-2.52
Co  0.5000  0.5000  0.5000  6 Ti 2.29-2.41

Results
- space-group type = C2/m, No. 12
- M_tot (μB per cell) = 1.04
- crystal system = monoclinic
- energy of formation (kJ/mol of formula units) = 179

---

# 12
# Sr2TlIn3Ag4

A geometry-optimized Sr2TlIn3Ag4 structure (PBE, Alexandria).

Cell lengths 4.6029, 4.6029, 12.4577 Å; angles 90.00, 90.00, 90.00 degrees
Closest atoms and distances in Å follow each position.
Atoms (fractional coordinates):
Sr  0.5000  0.0000  0.2477  8 Ag 3.51-3.85, 6 In 3.56-3.90, 2 Tl 3.90
Sr  0.0000  0.5000  0.7523  8 Ag 3.51-3.85, 6 In 3.56-3.90, 2 Tl 3.90
Tl  0.5000  0.5000  0.5000  4 Ag 2.95, 4 In 3.25
In  0.0000  0.0000  0.5000  4 Ag 2.95, 4 Tl 3.25
In  0.5000  0.0000  0.8683  5 Ag 2.75-2.83
In  0.0000  0.5000  0.1317  5 Ag 2.75-2.83
Ag  0.5000  0.5000  0.0000  4 In 2.83
Ag  0.0000  0.0000  0.0000  4 In 2.83
Ag  0.5000  0.0000  0.6478  3 In 2.75-2.95, 2 Tl 2.95
Ag  0.0000  0.5000  0.3522  3 In 2.75-2.95, 2 Tl 2.95

Results
- space-group type = P-4m2, No. 115
- M_tot (μB per cell) = 0.00
- crystal system = tetragonal
- energy of formation (kJ/mol of formula units) = -232